{
  "formula": "PuTl2FeO8",
  "functional": "GGA+U",
  "state": "relaxed",
  "lattice": [[5.0901, 0.0000, 0.0000], [0.5032, 5.1085, 0.0000], [0.4362, 0.3651, 6.6446]],
  "species": ["Pu", "Tl", "Tl", "Fe", "O", "O", "O", "O", "O", "O", "O", "O"],
  "fractional_positions": [[0.0000, 0.0000, 0.0000], [0.4564, 0.4575, 0.2656], [0.5436, 0.5425, 0.7344], [0.0000, 0.0000, 0.5000], [0.1640, 0.1499, 0.2561], [0.1917, 0.1770, 0.7962], [0.2755, 0.7106, 0.5023], [0.2913, 0.6925, 0.9996], [0.7087, 0.3075, 0.0004], [0.7245, 0.2894, 0.4977], [0.8083, 0.8230, 0.2038], [0.8360, 0.8501, 0.7439]],
  "sg": "P-1 (2)",
  "dft_energy_ev_per_atom": -6.652,
  "crystal_system": "triclinic",
  "magmom_total_mub_per_cell": 3.99
}

{
  "formula": "PuTl3Fe2O9",
  "functional": "GGA+U",
  "state": "relaxed",
  "lattice": [[5.7534, 0.0000, 0.0000], [-2.8767, 4.9826, 0.0000], [0.0000, 0.0000, 7.1309]],
  "species": ["Pu", "Tl", "Tl", "Tl", "Fe", "Fe", "O", "O", "O", "O", "O", "O", "O", "O", "O"],
  "fractional_positions": [[0.0000, 0.0000, 0.0000], [0.0000, 0.0000, 0.5000], [0.3333, 0.6667, 0.2144], [0.6667, 0.3333, 0.7856], [0.3333, 0.6667, 0.6572], [0.6667, 0.3333, 0.3428], [0.0000, 0.5000, 0.5000], [0.1659, 0.3318, 0.8355], [0.1659, 0.8341, 0.8355], [0.3318, 0.1659, 0.1645], [0.5000, 0.0000, 0.5000], [0.5000, 0.5000, 0.5000], [0.6682, 0.8341, 0.8355], [0.8341, 0.1659, 0.1645], [0.8341, 0.6682, 0.1645]],
  "sg": "P-3m1 (164)",
  "dft_energy_ev_per_atom": -6.447,
  "crystal_system": "trigonal",
  "magmom_total_mub_per_cell": 9.98
}